VASP calculation (PBE-GGA) on a relaxed structure of Dy3Co4Ge13.

DOS(E_F) ... 0.388 states/eV per atom
Volume ... 17.0 A^3/atom
ΔH_f (0 K) ... -8.4 eV/f.u.

Cell lengths 8.7877, 8.7877, 8.7877 Å; angles 90.00, 90.00, 90.00 degrees
Closest atoms and distances in Å follow each position.
Space group Pm-3n (No. 223)
One atom of each set of equivalent atoms:
Dy: 0.0000 0.2500 0.5000  12 Ge 3.08-3.10, 4 Co 3.11
Co: 0.2500 0.2500 0.2500  6 Ge 2.40
Ge: 0.0000 0.0000 0.0000  12 Ge 2.99
Ge: 0.0000 0.3032 0.1533  2 Co 2.40